i) First-principles (PBE) data for a relaxed VIrW2 crystal, as listed in the Alexandria database.

Computed properties:
space-group type: P4/mmm, No. 123
crystal system: tetragonal
density of states at the Fermi level: 3.93 states/eV/f.u.

The structure in POSCAR format:
```
VIrW2
1.0
-3.540 1.212 1.569
-1.785 -0.942 -3.300
-0.622 -3.570 1.355
W Ir V
2 1 1
direct
0.000 0.500 0.000
0.000 0.000 0.500
0.500 0.000 0.000
0.500 0.500 0.500
```

ii) First-principles (PBE) data for a relaxed VIrW2 crystal, as listed in the Alexandria database.

Computed properties:
space-group type: I-42d, No. 122
crystal system: tetragonal
density of states at the Fermi level: 4.77 states/eV/f.u.

The structure in POSCAR format:
```
VIrW2
1.0
-3.609 -0.642 0.162
0.541 -3.376 -1.331
-0.513 -5.446 8.545
Ir W V
2 4 2
direct
0.750 0.250 0.500
0.000 0.000 0.000
0.875 0.866 0.750
0.375 0.384 0.750
0.616 0.125 0.250
0.134 0.625 0.250
0.250 0.750 0.500
0.500 0.500 0.000
```

Least stable: ii)

i) First-principles (PBE) data for a relaxed VIrW3 crystal, as listed in the Alexandria database.

Computed properties:
space-group type: Pm-3m, No. 221
crystal system: cubic
density of states at the Fermi level: 6.30 states/eV/f.u.

The structure in POSCAR format:
```
VIrW3
1.0
4.737 0.000 0.000
0.000 4.737 0.000
0.000 0.000 4.737
W Ir V
3 1 1
direct
0.000 0.500 0.000
0.500 0.000 0.000
0.000 0.000 0.500
0.000 0.000 0.000
0.500 0.500 0.500
```

ii) First-principles (PBE) data for a relaxed VIrW3 crystal, as listed in the Alexandria database.

Computed properties:
space-group type: Pm-3m, No. 221
crystal system: cubic
density of states at the Fermi level: 5.59 states/eV/f.u.

The structure in POSCAR format:
```
VIrW3
1.0
-3.611 1.078 -2.356
-0.328 -4.199 -1.419
-2.571 -0.979 3.491
W Ir V
3 1 1
direct
0.000 0.000 0.500
0.000 0.500 0.000
0.500 0.000 0.000
0.500 0.500 0.500
0.000 0.000 0.000
```

Least stable: i)

i) First-principles (PBE) data for a relaxed YVIr2 crystal, as listed in the Alexandria database.

Computed properties:
space-group type: I-42d, No. 122
crystal system: tetragonal
density of states at the Fermi level: 3.95 states/eV/f.u.

The structure in POSCAR format:
```
YVIr2
1.0
7.221 0.000 0.000
0.000 7.221 0.000
3.610 3.610 2.861
Ir V Y
4 2 2
direct
0.375 0.429 0.750
0.875 0.821 0.750
0.571 0.125 0.250
0.179 0.625 0.250
0.250 0.750 0.500
0.500 0.500 0.000
0.000 0.000 0.000
0.750 0.250 0.500
```

ii) First-principles (PBE) data for a relaxed YVIr2 crystal, as listed in the Alexandria database.

Computed properties:
space-group type: R-3m, No. 166
crystal system: trigonal
density of states at the Fermi level: 4.77 states/eV/f.u.

The structure in POSCAR format:
```
YVIr2
1.0
-0.325 -1.539 3.939
3.349 0.105 2.602
-0.390 3.963 3.800
V Ir Y
1 2 1
direct
0.500 0.500 0.500
0.210 0.210 0.371
0.790 0.790 0.629
0.000 0.000 0.000
```

iii) First-principles (PBE) data for a relaxed YVIr2 crystal, as listed in the Alexandria database.

Computed properties:
space-group type: P4/mmm, No. 123
crystal system: tetragonal
density of states at the Fermi level: 2.89 states/eV/f.u.

The structure in POSCAR format:
```
YVIr2
1.0
3.019 0.000 0.000
0.000 3.019 0.000
0.000 0.000 7.412
V Y Ir
1 1 2
direct
0.500 0.500 0.000
0.500 0.500 0.500
0.000 0.000 0.799
0.000 0.000 0.201
```

Least stable: i)

i) First-principles (PBE) data for a relaxed YV2Ir2 crystal, as listed in the Alexandria database.

Computed properties:
space-group type: P4/mbm, No. 127
crystal system: tetragonal
density of states at the Fermi level: 7.09 states/eV/f.u.

The structure in POSCAR format:
```
YV2Ir2
1.0
7.617 0.000 0.000
0.000 7.617 0.000
0.000 0.000 2.870
Y V Ir
2 4 4
direct
0.500 0.500 0.000
0.000 0.000 0.000
0.658 0.842 0.500
0.842 0.342 0.500
0.342 0.158 0.500
0.158 0.658 0.500
0.866 0.634 0.000
0.366 0.866 0.000
0.134 0.366 0.000
0.634 0.134 0.000
```

ii) First-principles (PBE) data for a relaxed YV2Ir2 crystal, as listed in the Alexandria database.

Computed properties:
space-group type: P4/mbm, No. 127
crystal system: tetragonal
density of states at the Fermi level: 5.42 states/eV/f.u.

The structure in POSCAR format:
```
YV2Ir2
1.0
7.603 0.000 0.000
0.000 7.603 0.000
0.000 0.000 2.816
Ir V Y
4 4 2
direct
0.145 0.645 0.500
0.355 0.145 0.500
0.645 0.855 0.500
0.855 0.355 0.500
0.352 0.852 0.000
0.648 0.148 0.000
0.148 0.352 0.000
0.852 0.648 0.000
0.500 0.500 0.000
0.000 0.000 0.000
```

Least stable: i)

i) First-principles (PBE) data for a relaxed Y2VIr crystal, as listed in the Alexandria database.

Computed properties:
space-group type: Fm-3m, No. 225
crystal system: cubic
density of states at the Fermi level: 3.32 states/eV/f.u.

The structure in POSCAR format:
```
Y2VIr
1.0
0.000 3.495 3.495
3.495 0.000 3.495
3.495 3.495 0.000
Ir Y V
1 2 1
direct
0.500 0.500 0.500
0.750 0.750 0.750
0.250 0.250 0.250
0.000 0.000 0.000
```

ii) First-principles (PBE) data for a relaxed Y2VIr crystal, as listed in the Alexandria database.

Computed properties:
space-group type: I-42d, No. 122
crystal system: tetragonal
density of states at the Fermi level: 5.51 states/eV/f.u.

The structure in POSCAR format:
```
Y2VIr
1.0
7.869 0.000 0.000
0.000 7.869 0.000
3.935 3.935 3.057
Ir Y V
2 4 2
direct
0.000 0.000 0.000
0.750 0.250 0.500
0.875 0.910 0.750
0.660 0.125 0.250
0.090 0.625 0.250
0.375 0.340 0.750
0.500 0.500 0.000
0.250 0.750 0.500
```

Least stable: ii)

i) First-principles (PBE) data for a relaxed VZnIr3 crystal, as listed in the Alexandria database.

Computed properties:
space-group type: Pm-3m, No. 221
crystal system: cubic
density of states at the Fermi level: 7.17 states/eV/f.u.

The structure in POSCAR format:
```
VZnIr3
1.0
4.478 0.000 0.000
0.000 4.478 0.000
0.000 0.000 4.478
Ir Zn V
3 1 1
direct
0.000 0.500 0.000
0.500 0.000 0.000
0.000 0.000 0.500
0.000 0.000 0.000
0.500 0.500 0.500
```

ii) First-principles (PBE) data for a relaxed VZnIr3 crystal, as listed in the Alexandria database.

Computed properties:
space-group type: Pm-3m, No. 221
crystal system: cubic
density of states at the Fermi level: 3.17 states/eV/f.u.

The structure in POSCAR format:
```
VZnIr3
1.0
4.523 0.000 0.000
0.000 4.523 0.000
0.000 0.000 4.523
Ir Zn V
3 1 1
direct
0.000 0.000 0.500
0.500 0.000 0.000
0.000 0.500 0.000
0.500 0.500 0.500
0.000 0.000 0.000
```

Least stable: i)

i) First-principles (PBE) data for a relaxed Zr3VIr crystal, as listed in the Alexandria database.

Computed properties:
space-group type: Pm-3m, No. 221
crystal system: cubic
density of states at the Fermi level: 7.40 states/eV/f.u.

The structure in POSCAR format:
```
Zr3VIr
1.0
5.058 0.000 0.000
0.000 5.058 0.000
0.000 0.000 5.058
Zr Ir V
3 1 1
direct
0.000 0.500 0.000
0.000 0.000 0.500
0.500 0.000 0.000
0.000 0.000 0.000
0.500 0.500 0.500
```

ii) First-principles (PBE) data for a relaxed Zr3VIr crystal, as listed in the Alexandria database.

Computed properties:
space-group type: Pm-3m, No. 221
crystal system: cubic
density of states at the Fermi level: 4.87 states/eV/f.u.

The structure in POSCAR format:
```
Zr3VIr
1.0
-0.680 3.513 -3.124
-4.652 -0.047 0.960
0.679 3.197 3.447
Zr V Ir
3 1 1
direct
0.000 0.500 0.000
0.500 0.000 0.000
0.000 0.000 0.500
0.000 0.000 0.000
0.500 0.500 0.500
```

Least stable: ii)

i) First-principles (PBE) data for a relaxed ZrVIr2 crystal, as listed in the Alexandria database.

Computed properties:
space-group type: R-3m, No. 166
crystal system: trigonal
density of states at the Fermi level: 3.84 states/eV/f.u.

The structure in POSCAR format:
```
ZrVIr2
1.0
4.287 0.000 0.000
2.144 3.713 0.000
2.144 1.238 4.276
Ir Zr V
2 1 1
direct
0.779 0.779 0.664
0.221 0.221 0.336
0.000 0.000 0.000
0.500 0.500 0.500
```

ii) First-principles (PBE) data for a relaxed ZrVIr2 crystal, as listed in the Alexandria database.

Computed properties:
space-group type: P4/mmm, No. 123
crystal system: tetragonal
density of states at the Fermi level: 3.76 states/eV/f.u.

The structure in POSCAR format:
```
ZrVIr2
1.0
-0.979 -2.046 -2.928
3.587 -2.115 0.278
-1.826 -2.762 2.541
Ir V Zr
2 1 1
direct
0.000 0.000 0.500
0.000 0.500 0.000
0.500 0.000 0.000
0.500 0.500 0.500
```

Least stable: i)

i) First-principles (PBE) data for a relaxed ZrVIr crystal, as listed in the Alexandria database.

Computed properties:
space-group type: Imma, No. 74
crystal system: orthorhombic
density of states at the Fermi level: 1.94 states/eV/f.u.

The structure in POSCAR format:
```
ZrVIr
1.0
4.368 0.000 2.453
1.554 4.375 2.349
-0.049 -0.007 5.203
V Ir Zr
2 2 2
direct
0.000 0.000 0.000
0.500 0.000 0.000
0.500 0.500 0.000
0.500 0.000 0.500
0.877 0.373 0.373
0.123 0.627 0.627
```

ii) First-principles (PBE) data for a relaxed ZrVIr crystal, as listed in the Alexandria database.

Computed properties:
space-group type: P2_1/m, No. 11
crystal system: monoclinic
density of states at the Fermi level: 3.12 states/eV/f.u.

The structure in POSCAR format:
```
ZrVIr
1.0
5.264 -0.031 -0.022
1.658 6.429 -0.126
1.653 1.193 6.319
V Zr Ir
4 4 4
direct
0.645 0.847 0.097
0.355 0.153 0.903
0.645 0.347 0.597
0.355 0.653 0.403
0.745 0.345 0.095
0.745 0.845 0.595
0.255 0.655 0.905
0.255 0.155 0.405
0.919 0.561 0.311
0.919 0.061 0.811
0.081 0.439 0.689
0.081 0.939 0.189
```

Least stable: ii)

i) First-principles (PBE) data for a relaxed IrW2 crystal, as listed in the Alexandria database.

Computed properties:
space-group type: Cmcm, No. 63
crystal system: orthorhombic
density of states at the Fermi level: 1.63 states/eV/f.u.

The structure in POSCAR format:
```
IrW2
1.0
1.999 -6.090 0.000
1.999 6.090 0.000
0.000 0.000 3.851
W Ir
4 2
direct
0.424 0.576 0.750
0.576 0.424 0.250
0.747 0.253 0.750
0.253 0.747 0.250
0.920 0.080 0.250
0.080 0.920 0.750
```

ii) First-principles (PBE) data for a relaxed IrW2 crystal, as listed in the Alexandria database.

Computed properties:
space-group type: Cmcm, No. 63
crystal system: orthorhombic
density of states at the Fermi level: 2.32 states/eV/f.u.

The structure in POSCAR format:
```
IrW2
1.0
-6.919 3.425 0.283
5.366 -5.416 -1.244
-0.608 -1.582 4.260
Ir W
2 4
direct
0.780 0.220 0.750
0.220 0.780 0.250
0.550 0.450 0.250
0.124 0.876 0.750
0.876 0.124 0.250
0.450 0.550 0.750
```

Least stable: ii)

i) First-principles (PBE) data for a relaxed Ir3W4 crystal, as listed in the Alexandria database.

Computed properties:
space-group type: P6/mmm, No. 191
crystal system: hexagonal
density of states at the Fermi level: 5.19 states/eV/f.u.

The structure in POSCAR format:
```
Ir3W4
1.0
3.521 0.988 -3.565
-4.304 2.744 0.167
2.151 3.191 3.008
W Ir
4 3
direct
0.000 0.000 0.743
0.000 0.000 0.257
0.333 0.667 0.500
0.667 0.333 0.500
0.500 0.000 0.000
0.000 0.500 0.000
0.500 0.500 0.000
```

ii) First-principles (PBE) data for a relaxed Ir3W4 crystal, as listed in the Alexandria database.

Computed properties:
space-group type: I4/mmm, No. 139
crystal system: tetragonal
density of states at the Fermi level: 7.80 states/eV/f.u.

The structure in POSCAR format:
```
Ir3W4
1.0
10.120 -1.415 -1.368
9.663 -1.435 3.296
-10.221 -0.895 -1.006
W Ir
4 3
direct
0.148 0.148 0.000
0.573 0.573 0.000
0.427 0.427 0.000
0.852 0.852 0.000
0.000 0.000 0.000
0.711 0.711 0.000
0.289 0.289 0.000
```

Least stable: ii)

i) First-principles (PBE) data for a relaxed IrW5 crystal, as listed in the Alexandria database.

Computed properties:
space-group type: Cmmm, No. 65
crystal system: orthorhombic
density of states at the Fermi level: 5.38 states/eV/f.u.

The structure in POSCAR format:
```
IrW5
1.0
-6.333 -1.157 0.630
5.927 -2.297 1.199
0.010 1.854 3.502
Ir W
1 5
direct
0.500 0.500 0.000
0.161 0.839 0.000
0.336 0.664 0.500
0.000 0.000 0.500
0.839 0.161 0.000
0.664 0.336 0.500
```

ii) First-principles (PBE) data for a relaxed IrW5 crystal, as listed in the Alexandria database.

Computed properties:
space-group type: P6/mmm, No. 191
crystal system: hexagonal
density of states at the Fermi level: 4.66 states/eV/f.u.

The structure in POSCAR format:
```
IrW5
1.0
2.600 -4.503 0.000
2.600 4.503 0.000
0.000 0.000 4.521
W Ir
5 1
direct
0.500 0.500 0.500
0.000 0.500 0.500
0.333 0.667 0.000
0.500 0.000 0.500
0.667 0.333 0.000
0.000 0.000 0.000
```

Least stable: ii)